The following is a DFT calculation (PBE) of a geometry-optimized Ac2VZnS6 structure.

## Properties
- Raw formation energy: -12.9 eV per formula unit

Structure (CIF):
```
data_Ac2VZnS6
_chemical_formula_sum 'Ac4 V2 Zn2 S12'
_cell_length_a 6.670
_cell_length_b 6.925
_cell_length_c 9.466
_cell_angle_alpha 90.00
_cell_angle_beta 90.00
_cell_angle_gamma 90.00
_symmetry_space_group_name_H-M 'P 1'
_symmetry_Int_Tables_number 1
_symmetry_space_group_name_Hall 'P 1'
loop_
_atom_site_label
_atom_site_type_symbol
_atom_site_fract_x
_atom_site_fract_y
_atom_site_fract_z
Ac1 Ac 0.500 0.793 0.264
Ac2 Ac 0.000 0.207 0.764
Ac3 Ac 0.500 0.793 0.736
Ac4 Ac 0.000 0.207 0.236
V1 V 0.000 0.722 0.500
V2 V 0.500 0.278 0.000
Zn1 Zn 0.500 0.251 0.500
Zn2 Zn 0.000 0.749 0.000
S1 S 0.500 0.232 0.246
S2 S 0.500 0.232 0.754
S3 S 0.000 0.768 0.254
S4 S 0.000 0.768 0.746
S5 S 0.239 0.006 0.500
S6 S 0.761 0.006 0.500
S7 S 0.264 0.524 0.500
S8 S 0.736 0.524 0.500
S9 S 0.764 0.476 0.000
S10 S 0.236 0.476 0.000
S11 S 0.261 0.994 0.000
S12 S 0.739 0.994 0.000
```

***

The following is a DFT calculation (PBE) of a geometry-optimized BaTiTeW2 structure.

## Properties
- Raw formation energy: 5.9 eV per formula unit

Structure (CIF):
```
data_BaTiTeW2
_chemical_formula_sum 'Ba1 Ti1 Te1 W2'
_cell_length_a 4.772
_cell_length_b 5.714
_cell_length_c 4.772
_cell_angle_alpha 90.00
_cell_angle_beta 90.00
_cell_angle_gamma 90.00
_symmetry_space_group_name_H-M 'P 1'
_symmetry_Int_Tables_number 1
_symmetry_space_group_name_Hall 'P 1'
loop_
_atom_site_label
_atom_site_type_symbol
_atom_site_fract_x
_atom_site_fract_y
_atom_site_fract_z
Te1 Te 0.000 0.500 0.000
Ba1 Ba 0.500 0.500 0.500
W1 W 0.000 0.000 0.500
W2 W 0.500 0.000 0.000
Ti1 Ti 0.000 0.000 0.000
```

***

The following is a DFT calculation (PBE) of a geometry-optimized LaDy3Y2Se6 structure.

## Properties
- Raw formation energy: -21.5 eV per formula unit

Structure (CIF):
```
data_LaDy3Y2Se6
_chemical_formula_sum 'La1 Dy3 Y2 Se6'
_cell_length_a 7.138
_cell_length_b 7.138
_cell_length_c 7.148
_cell_angle_alpha 99.57
_cell_angle_beta 99.57
_cell_angle_gamma 120.26
_symmetry_space_group_name_H-M 'P 1'
_symmetry_Int_Tables_number 1
_symmetry_space_group_name_Hall 'P 1'
loop_
_atom_site_label
_atom_site_type_symbol
_atom_site_fract_x
_atom_site_fract_y
_atom_site_fract_z
La1 La 0.000 0.000 0.000
Dy1 Dy 0.161 0.839 0.500
Dy2 Dy 0.839 0.161 0.500
Dy3 Dy 0.500 0.500 0.500
Y1 Y 0.333 0.667 0.000
Y2 Y 0.667 0.333 0.000
Se1 Se 0.914 0.570 0.741
Se2 Se 0.740 0.740 0.253
Se3 Se 0.086 0.430 0.259
Se4 Se 0.570 0.914 0.741
Se5 Se 0.260 0.260 0.747
Se6 Se 0.430 0.086 0.259
```

***

The following is a DFT calculation (PBE) of a geometry-optimized Sr2ZrIr structure.

## Properties
- ΔE to the lowest computed polymorph: 668 meV per atom
- Energy relative to the elements: 0.471 eV per atom

Structure (CIF):
```
data_Sr2ZrIr
_chemical_formula_sum 'Sr2 Zr1 Ir1'
_cell_length_a 5.032
_cell_length_b 3.475
_cell_length_c 6.518
_cell_angle_alpha 67.51
_cell_angle_beta 90.00
_cell_angle_gamma 90.00
_symmetry_space_group_name_H-M 'P 1'
_symmetry_Int_Tables_number 1
_symmetry_space_group_name_Hall 'P 1'
loop_
_atom_site_label
_atom_site_type_symbol
_atom_site_fract_x
_atom_site_fract_y
_atom_site_fract_z
Ir1 Ir 0.500 0.750 0.750
Sr1 Sr 0.000 0.931 0.980
Sr2 Sr 0.000 0.569 0.520
Zr1 Zr 0.500 0.250 0.250
```

***

The following is a DFT calculation (PBE) of a geometry-optimized NdHo2Sc2 structure.

## Properties
- ΔE to the lowest computed polymorph: 0 meV per atom
- Energy relative to the elements: 0.128 eV per atom

Structure (CIF):
```
data_NdHo2Sc2
_chemical_formula_sum 'Nd2 Ho4 Sc4'
_cell_length_a 5.468
_cell_length_b 6.765
_cell_length_c 9.144
_cell_angle_alpha 111.71
_cell_angle_beta 107.40
_cell_angle_gamma 90.00
_symmetry_space_group_name_H-M 'P 1'
_symmetry_Int_Tables_number 1
_symmetry_space_group_name_Hall 'P 1'
loop_
_atom_site_label
_atom_site_type_symbol
_atom_site_fract_x
_atom_site_fract_y
_atom_site_fract_z
Nd1 Nd 0.375 0.125 0.250
Nd2 Nd 0.625 0.875 0.750
Ho1 Ho 0.624 0.374 0.748
Ho2 Ho 0.001 0.751 0.502
Ho3 Ho 0.999 0.249 0.498
Ho4 Ho 0.376 0.626 0.252
Sc1 Sc 0.808 0.313 0.116
Sc2 Sc 0.808 0.803 0.116
Sc3 Sc 0.192 0.197 0.884
Sc4 Sc 0.192 0.687 0.884
```

***

The following is a DFT calculation (PBE) of a geometry-optimized Hf2TcIr2 structure.

## Properties
- Energy relative to the elements: -0.459 eV per atom

Structure (CIF):
```
data_Hf2TcIr2
_chemical_formula_sum 'Hf4 Tc2 Ir4'
_cell_length_a 7.087
_cell_length_b 7.087
_cell_length_c 3.550
_cell_angle_alpha 90.00
_cell_angle_beta 90.00
_cell_angle_gamma 90.00
_symmetry_space_group_name_H-M 'P 1'
_symmetry_Int_Tables_number 1
_symmetry_space_group_name_Hall 'P 1'
loop_
_atom_site_label
_atom_site_type_symbol
_atom_site_fract_x
_atom_site_fract_y
_atom_site_fract_z
Ir1 Ir 0.369 0.869 0.000
Ir2 Ir 0.869 0.631 0.000
Ir3 Ir 0.631 0.131 0.000
Ir4 Ir 0.131 0.369 0.000
Hf1 Hf 0.172 0.672 0.500
Hf2 Hf 0.672 0.828 0.500
Hf3 Hf 0.828 0.328 0.500
Hf4 Hf 0.328 0.172 0.500
Tc1 Tc 0.000 0.000 0.000
Tc2 Tc 0.500 0.500 0.000
```

***

The following is a DFT calculation (PBE) of a geometry-optimized LiErIn4 structure.

## Properties
- Energy relative to the elements: -0.069 eV per atom

Structure (CIF):
```
data_LiErIn4
_chemical_formula_sum 'Li1 Er1 In4'
_cell_length_a 4.510
_cell_length_b 4.510
_cell_length_c 7.811
_cell_angle_alpha 90.00
_cell_angle_beta 90.00
_cell_angle_gamma 90.00
_symmetry_space_group_name_H-M 'P 1'
_symmetry_Int_Tables_number 1
_symmetry_space_group_name_Hall 'P 1'
loop_
_atom_site_label
_atom_site_type_symbol
_atom_site_fract_x
_atom_site_fract_y
_atom_site_fract_z
Li1 Li 0.500 0.500 0.500
Er1 Er 0.000 0.000 0.000
In1 In 0.500 0.000 0.711
In2 In 0.000 0.500 0.711
In3 In 0.500 0.000 0.289
In4 In 0.000 0.500 0.289
```

***

The following is a DFT calculation (PBE) of a geometry-optimized ReSi2Ir structure.

## Properties
- ΔE to the lowest computed polymorph: 0 meV per atom
- Raw formation energy: -1.5 eV per formula unit

Structure (CIF):
```
data_ReSi2Ir
_chemical_formula_sum 'Re1 Si2 Ir1'
_cell_length_a 4.212
_cell_length_b 4.212
_cell_length_c 4.212
_cell_angle_alpha 60.00
_cell_angle_beta 60.00
_cell_angle_gamma 60.00
_symmetry_space_group_name_H-M 'P 1'
_symmetry_Int_Tables_number 1
_symmetry_space_group_name_Hall 'P 1'
loop_
_atom_site_label
_atom_site_type_symbol
_atom_site_fract_x
_atom_site_fract_y
_atom_site_fract_z
Re1 Re 0.000 0.000 0.000
Si1 Si 0.250 0.250 0.250
Si2 Si 0.750 0.750 0.750
Ir1 Ir 0.500 0.500 0.500
```

***

Number 1: E -5.630 eV/atom, total moment 2.00 Bohr magnetons per cell. Number 2: E -6.601 eV/atom, total moment 0.00 Bohr magnetons per cell. Number 3: E -6.175 eV/atom, total moment 0.00 Bohr magnetons per cell. Number 4: E -4.723 eV/atom, total moment 0.00 Bohr magnetons per cell. Number 5: E -5.189 eV/atom, total moment 0.00 Bohr magnetons per cell. Number 6: E -10.058 eV/atom, total moment 0.00 Bohr magnetons per cell. Number 7: E -2.974 eV/atom, total moment 0.00 Bohr magnetons per cell. Number 8: E -8.421 eV/atom, total moment 0.00 Bohr magnetons per cell.